# YMnIO6

Crystalline YMnIO6 at its relaxed geometry (PBE+U, Alexandria).

Values from the calculation:
Crystal system: trigonal
Fermi-level density of states (states/eV/cell): 0.00
Total energy (eV/atom): -6.502
SG: P-31c
Total moment (μB per formula unit): 5.0

Cell: 5.549 5.549 8.983 Å, 90.00 90.00 120.00°
Fractional positions:
Y 0.333 0.667 0.250
Y 0.667 0.333 0.750
Mn 0.000 0.000 0.000
Mn 0.000 0.000 0.500
I 0.667 0.333 0.250
I 0.333 0.667 0.750
O 0.672 0.622 0.131
O 0.950 0.328 0.131
O 0.328 0.950 0.631
O 0.050 0.672 0.869
O 0.378 0.328 0.369
O 0.950 0.622 0.369
O 0.622 0.950 0.869
O 0.672 0.050 0.369
O 0.050 0.378 0.631
O 0.378 0.050 0.131
O 0.622 0.672 0.631
O 0.328 0.378 0.869